# NdTiZn2

An optimized crystal structure of NdTiZn2 (PBE, Alexandria via LeMat-Bulk).

N(E_F), states/eV/cell: 4.31
Energy of formation from the pure elements, eV/atom: -0.083

Unit cell a=4.8801 b=4.8801 c=4.8801 alpha=60.00 beta=60.00 gamma=60.00
Closest atoms and distances in Å follow each position.
Atoms (fractional coordinates):
Zn (0.2500, 0.2500, 0.2500)  4 Nd 2.99, 4 Ti 2.99
Zn (0.7500, 0.7500, 0.7500)  4 Nd 2.99, 4 Ti 2.99
Nd (0.0000, 0.0000, 0.0000)  8 Zn 2.99
Ti (0.5000, 0.5000, 0.5000)  8 Zn 2.99